Ba2VInF | GGA+U | optimized geometry Values from VASP.

Summary:
As for the density of states at the Fermi level: 5.07 states/eV/f.u. As for the symmetry: P4/mmm, No. 123. Its crystal system is tetragonal. For the volume, the calculation gives 178.29 Å³ per cell. For the total energy, the calculation gives -3.5629 eV/atom.

```
&SYSTEM
  ibrav = 0, nat = 5, ntyp = 4
/
ATOMIC_SPECIES
V 50.94 V.upf
F 19.00 F.upf
Ba 137.33 Ba.upf
In 114.82 In.upf
ATOMIC_POSITIONS crystal
V 0.000 0.000 0.000
F 0.000 0.500 0.000
Ba 0.500 0.000 0.000
Ba 0.000 0.000 0.500
In 0.500 0.500 0.500
CELL_PARAMETERS angstrom
6.588 0.000 0.000
0.000 4.107 0.000
0.000 0.000 6.588
```